Record 1
A plane-wave DFT calculation with PBE-GGA was carried out for a relaxed structure of BaIrAu3.

a b c (Å): 5.954 5.954 5.954
angles (deg): 90.00 90.00 90.00
Fractional coordinates of all 5 atoms:
Ba (0.000, 0.000, 0.000)
Ir (0.500, 0.500, 0.500)
Au (0.000, 0.000, 0.500)
Au (0.000, 0.500, 0.000)
Au (0.500, 0.000, 0.000)

Summary:
**E above lowest polymorph**: 1.787 eV per atom
**Formation energy from the elements**: 1.7304 eV/atom
**Space-group type**: Pm-3m (221)



Record 2
A plane-wave DFT calculation with PBE-GGA was carried out for a relaxed structure of KMg2Se.

a b c (Å): 4.267 4.083 7.251
angles (deg): 90.00 105.04 90.00
Fractional coordinates of all 4 atoms:
K (0.000, 0.000, 0.000)
Mg (0.303, 0.500, 0.581)
Mg (0.746, 0.000, 0.464)
Se (0.596, 0.500, 0.231)

Summary:
**ΔE_f (raw)**: -0.490 eV/atom
**Space-group type**: Pm (6)



Record 3
A plane-wave DFT calculation with PBE-GGA was carried out for a relaxed structure of Rb2Sn2P.

a b c (Å): 7.130 7.130 9.698
angles (deg): 98.36 98.36 121.77
Fractional coordinates of all 10 atoms:
Rb (0.086, 0.413, 0.249)
Rb (0.413, 0.086, 0.249)
Rb (0.587, 0.914, 0.751)
Rb (0.914, 0.587, 0.751)
Sn (0.200, 0.200, 0.584)
Sn (0.249, 0.249, 0.899)
Sn (0.751, 0.751, 0.101)
Sn (0.800, 0.800, 0.416)
P (0.348, 0.652, 0.000)
P (0.652, 0.348, 0.000)

Summary:
**E above lowest polymorph**: 0.000 eV per atom
**Formation energy from the elements**: -0.1936 eV/atom
**Space-group type**: C2/m (12)